BaMn3Pd: optimized geometry, PBE.

Results
- SG: No. 221
- Energy above the most stable polymorph in this dataset: 1603 meV/atom
- E_form: 2.112 eV per atom
- DOS at the Fermi energy: 0.630 states/eV per atom

Structure (CIF):
```
data_BaMn3Pd
_symmetry_space_group_name_H-M 'P 1'
_symmetry_Int_Tables_number 1
_symmetry_space_group_name_Hall 'P 1'
_cell_length_a 5.013
_cell_length_b 5.013
_cell_length_c 5.013
_cell_angle_alpha 90.00
_cell_angle_beta 90.00
_cell_angle_gamma 90.00
loop_
_atom_site_label
_atom_site_type_symbol
_atom_site_fract_x
_atom_site_fract_y
_atom_site_fract_z
Ba1 Ba 0.000 0.000 0.000
Mn1 Mn 0.000 0.000 0.500
Mn2 Mn 0.000 0.500 0.000
Mn3 Mn 0.500 0.000 0.000
Pd1 Pd 0.500 0.500 0.500
```